# 1
The following is a DFT calculation (PBE-GGA) of crystalline Ba3HoB9O18 at its relaxed geometry.

Output
V	12.8	Å³ per atom
uncorrected energy	-488.511	eV per cell

```
Ba3HoB9O18
1.0
7.275 0.000 0.000
-3.637 6.300 0.000
0.000 0.000 17.367
Ba Ho B O
6 2 18 36
Cartesian
0.000 0.000 4.342
0.000 0.000 13.025
0.000 4.200 2.281
0.000 4.200 6.402
3.637 2.100 10.965
3.637 2.100 15.086
0.000 0.000 0.000
0.000 0.000 8.684
-1.408 3.915 13.025
-0.429 2.831 10.103
-0.429 2.831 15.948
-0.971 5.257 10.103
-0.971 5.257 15.948
0.951 3.123 13.025
2.237 1.787 1.419
2.237 1.787 7.264
3.180 0.738 4.342
0.457 5.562 13.025
1.401 4.513 10.103
1.401 4.513 15.948
2.686 3.177 4.342
4.609 1.043 1.419
4.609 1.043 7.264
4.067 3.469 1.419
4.067 3.469 7.264
5.046 2.385 4.342
-0.866 1.571 10.083
-0.866 1.571 15.968
-0.918 2.608 4.342
-1.356 3.899 10.107
-1.356 3.899 15.944
-0.447 2.885 13.025
-1.843 6.264 10.083
-1.843 6.264 15.968
0.928 1.536 1.399
0.928 1.536 7.284
-0.916 5.245 13.025
-0.920 5.791 4.342
0.938 3.176 10.107
0.938 3.176 15.944
1.799 2.099 13.025
2.275 1.829 4.342
0.418 5.525 10.107
0.418 5.525 15.944
3.220 0.775 1.423
3.220 0.775 7.261
1.363 4.471 13.025
1.838 4.201 4.342
2.699 3.124 1.423
2.699 3.124 7.261
4.557 0.509 13.025
4.553 1.055 4.342
2.709 4.764 10.083
2.709 4.764 15.968
5.481 0.036 1.399
5.481 0.036 7.284
4.084 3.415 4.342
4.993 2.401 1.423
4.993 2.401 7.261
4.556 3.692 13.025
4.503 4.729 1.399
4.503 4.729 7.284
```

# 2
The following is a DFT calculation (PBE-GGA) of crystalline BaHoB2O6 at its relaxed geometry.

Output
V	13.7	Å³ per atom
uncorrected energy	-153.931	eV per cell

```
BaHoB2O6
1.0
4.194 -4.998 0.000
4.194 4.998 0.000
-2.397 0.000 6.534
Ba Ho B O
2 2 4 12
Cartesian
2.396 3.633 4.900
3.595 -3.633 1.633
3.595 0.882 1.633
2.396 -0.882 4.900
0.389 1.258 4.900
1.587 -1.258 1.633
4.404 1.258 4.901
5.602 -1.258 1.634
2.053 2.558 1.872
0.272 0.164 4.078
1.470 -0.164 0.811
1.333 1.161 5.913
5.137 2.558 1.395
3.460 1.161 3.888
2.532 -1.161 2.646
0.855 -2.558 5.139
4.658 -1.161 0.621
4.521 0.164 5.723
5.720 -0.164 2.456
3.938 -2.558 4.662
```

# 3
The following is a DFT calculation (PBE-GGA) of crystalline Ba3HoB2O8 at its relaxed geometry.

Output
V	14.3	Å³ per atom
uncorrected energy	-101.319	eV per cell

```
Ba3HoB2O8
1.0
5.611 0.000 0.000
-2.805 4.859 0.000
0.000 0.000 7.336
Ba Ho B O
3 1 2 8
Cartesian
0.000 0.000 0.000
0.000 3.239 5.092
2.805 1.620 2.244
0.000 0.000 3.668
0.000 3.239 1.834
2.805 1.620 5.503
0.000 1.814 2.349
-1.234 3.952 2.349
0.000 3.239 0.371
1.571 0.907 4.987
1.234 3.952 2.349
2.805 1.620 6.965
4.040 0.907 4.987
2.805 3.045 4.987
```

# 4
The following is a DFT calculation (PBE-GGA) of crystalline Ba2HoB2S6 at its relaxed geometry.

Output
V	23.8	Å³ per atom
uncorrected energy	-60.969	eV per cell

```
Ba2HoB2S6
1.0
5.772 -3.307 0.000
5.772 3.307 0.000
-3.978 0.000 6.851
Ba Ho B S
2 1 2 6
Cartesian
1.619 0.000 1.446
5.947 0.000 5.405
-1.989 0.000 3.426
2.197 0.000 5.057
5.369 0.000 1.794
4.494 1.574 1.424
0.465 0.000 4.480
3.071 1.574 5.427
4.494 -1.574 1.424
7.100 0.000 2.371
3.071 -1.574 5.427
```